CeBe2CuPd5 after structural relaxation. Source: Alexandria via LeMat-Bulk, functional GGA-PBE.

Structure (CIF):
```
data_CeBe2CuPd5
_symmetry_space_group_name_H-M 'P 4/m m m'
_symmetry_Int_Tables_number 123
_symmetry_space_group_name_Hall '-P 4 2'
_cell_length_a 4.423
_cell_length_b 4.423
_cell_length_c 6.992
_cell_angle_alpha 90.00
_cell_angle_beta 90.00
_cell_angle_gamma 90.00
loop_
_atom_site_label
_atom_site_type_symbol
_atom_site_fract_x
_atom_site_fract_y
_atom_site_fract_z
Ce1 Ce 0.000 0.000 0.000
Be1 Be 0.500 0.500 0.341
Cu1 Cu 0.000 0.000 0.500
Pd1 Pd 0.000 0.500 0.287
Pd2 Pd 0.500 0.500 0.000
```

Values from the calculation:
V	136.8	Å³ per cell
D(E_F)	0.743	states/eV per atom
formation enthalpy at 0 K	-3.79	eV/f.u.
uncorrected energy	-47.24	eV per cell